This record from the Alexandria database describes an optimized crystal structure of SnGeCl2. The functional is PBE.

Cell and atoms, written as POSCAR:
```
SnGeCl2
1.0
-7.276 0.932 3.017
0.430 -7.216 3.264
-2.153 -1.861 5.807
Ge Sn Cl
2 2 4
Cartesian
-3.423 -3.142 3.141 Ge
-2.573 -6.109 6.106 Ge
-6.426 -2.036 5.982 Sn
0.000 0.000 0.000 Sn
-4.881 -0.804 3.683 Cl
-4.173 -3.902 6.778 Cl
-1.330 -4.839 3.931 Cl
-7.614 -6.744 9.783 Cl
```

Properties
symmetry: No. 122
ΔE_f (raw): -0.982 eV/f.u.